DFT (PBE) results for a relaxed structure of YSb2Br.

a b c (Å): 4.194 4.196 6.585
angles (deg): 90.00 90.07 90.00
Fractional coordinates of all 4 atoms:
Y: 0.000 0.000 0.000
Sb: 0.499 0.500 0.787
Sb: 0.501 0.500 0.213
Br: 0.000 0.000 0.500

**Space-group type**: P2/m (10)
**Electronic total energy**: -4.68 eV/atom
**Size of the total moment**: 0.000 μB per atom
**ΔE_f (raw)**: -57 kJ/mol of atoms
**Energy relative to the lowest polymorph listed for this composition**: 141.2 meV/atom